This record from Alexandria describes CsSiAu2 after structural relaxation. The functional is PBE-GGA.

Lattice parameters (Å, degrees): 4.6201 8.2923 12.0850 90.00 90.00 90.00
Closest atoms and distances in Å follow each position.
Fractional positions:
Cs: 0.7500 0.6271 0.3909  5 Au 3.53-3.61, 2 Si 3.82
Cs: 0.7500 0.1271 0.1091  5 Au 3.53-3.61, 2 Si 3.82
Cs: 0.2500 0.3729 0.6091  5 Au 3.53-3.61, 2 Si 3.82
Cs: 0.2500 0.8729 0.8909  5 Au 3.53-3.61, 2 Si 3.82
Si: 0.2500 0.0685 0.3573  5 Au 2.47-2.66
Si: 0.7500 0.9315 0.6427  5 Au 2.47-2.66
Si: 0.2500 0.5685 0.1427  5 Au 2.47-2.66
Si: 0.7500 0.4315 0.8573  5 Au 2.47-2.66
Au: 0.7500 0.5476 0.0624  3 Si 2.51-2.66
Au: 0.2500 0.4524 0.9376  3 Si 2.51-2.66
Au: 0.7500 0.0476 0.4376  3 Si 2.51-2.66
Au: 0.2500 0.9524 0.5624  3 Si 2.51-2.66
Au: 0.7500 0.1600 0.7742  2 Si 2.47
Au: 0.2500 0.3400 0.2742  2 Si 2.47
Au: 0.7500 0.6600 0.7258  2 Si 2.47
Au: 0.2500 0.8400 0.2258  2 Si 2.47

Results
Space group = Pnma
E_form (uncorrected) = -0.291 eV/atom

---

This record from Alexandria describes CsSiAu3 after structural relaxation. The functional is PBE-GGA.

Lattice parameters (Å, degrees): 6.0639 6.0639 9.0240 70.37 70.37 90.00
Closest atoms and distances in Å follow each position.
Fractional positions:
Cs: 0.6165 0.1165 0.7669  10 Au 3.46-3.87, 2 Si 3.55
Cs: 0.8835 0.3835 0.2331  10 Au 3.46-3.87, 2 Si 3.55
Si: 0.0000 0.0000 0.0000  4 Au 2.44
Si: 0.2500 0.7500 0.5000  4 Au 2.59
Au: 0.6126 0.8886 0.2227  2 Si 2.44-2.59, 1 Au 2.72
Au: 0.1114 0.3874 0.7773  2 Si 2.44-2.59, 1 Au 2.72
Au: 0.1114 0.8353 0.7773  2 Si 2.44-2.59, 1 Au 2.72
Au: 0.1647 0.8886 0.2227  2 Si 2.44-2.59, 1 Au 2.72
Au: 0.2565 0.2565 0.4870  2 Au 2.85, 2 Si 3.03
Au: 0.7435 0.7435 0.5130  2 Au 2.85, 2 Si 3.03

Results
Space group = I-4m2
Distance to the lowest polymorph of the same formula = 246 meV per atom
E_form (uncorrected) = -0.045 eV/atom

---

This record from Alexandria describes Cs2Si2Au after structural relaxation. The functional is PBE-GGA.

Lattice parameters (Å, degrees): 7.3264 7.3264 6.2829 54.34 54.34 90.00
Closest atoms and distances in Å follow each position.
Fractional positions:
Cs: 0.7500 0.2500 0.5000  2 Cs 3.55, 4 Si 3.73
Cs: 0.2500 0.7500 0.5000  2 Cs 3.55, 4 Si 3.73
Si: 0.3455 0.3455 0.3090  1 Si 2.20, 1 Au 2.46
Si: 0.6545 0.6545 0.6910  1 Si 2.20, 1 Au 2.46
Au: 0.0000 0.0000 0.0000  2 Si 2.46

Results
Space group = I4/mmm
Distance to the lowest polymorph of the same formula = 124 meV per atom
E_form (uncorrected) = 0.137 eV/atom

---

This record from Alexandria describes CsSiAu3 after structural relaxation. The functional is PBE-GGA.

Lattice parameters (Å, degrees): 6.8949 8.2654 7.2728 109.55 64.34 115.32
Closest atoms and distances in Å follow each position.
Fractional positions:
Cs: 0.4673 0.3916 0.1114  6 Au 3.67-4.07
Cs: 0.9887 0.0599 0.6045  8 Au 3.69-4.12, 2 Si 3.94-3.98
Si: 0.2876 0.7092 0.7504  5 Au 2.38-2.51
Si: 0.7210 0.9962 0.1932  4 Au 2.36-2.41
Au: 0.5373 0.5452 0.6592  1 Si 2.38
Au: 0.0270 0.8775 0.0218  2 Si 2.38-2.51
Au: 0.7361 0.2824 0.4113  1 Si 2.36
Au: 0.4025 0.8249 0.4428  2 Si 2.39-2.41
Au: 0.4167 0.8628 0.0514  2 Si 2.41-2.46
Au: 0.9598 0.5812 0.6374  1 Si 2.43

Results
Space group = P1
Distance to the lowest polymorph of the same formula = 65 meV per atom
E_form (uncorrected) = -0.227 eV/atom